DFT (PBE-GGA) results for a relaxed GdTmMg crystal.

CIF file:
```
data_GdTmMg
_chemical_formula_sum 'Gd2 Tm2 Mg2'
_cell_length_a 3.602
_cell_length_b 3.602
_cell_length_c 13.365
_cell_angle_alpha 90.00
_cell_angle_beta 90.00
_cell_angle_gamma 90.00
_space_group_name_H-M_alt 'I 4 m m'
_space_group_IT_number 107
_space_group_name_Hall 'I 4 -2'
loop_
_atom_site_label
_atom_site_fract_x
_atom_site_fract_y
_atom_site_fract_z
Gd1 0.000 0.000 0.000
Tm1 0.000 0.000 0.678
Mg1 0.000 0.000 0.335
```

Computed properties:
E above lowest polymorph = 0.00 eV/f.u.
total energy = -20.3 eV per formula unit


DFT (PBE-GGA) results for a relaxed LaGe3Pd crystal.

CIF file:
```
data_LaGe3Pd
_chemical_formula_sum 'La1 Ge3 Pd1'
_cell_length_a 5.558
_cell_length_b 5.558
_cell_length_c 5.558
_cell_angle_alpha 90.00
_cell_angle_beta 90.00
_cell_angle_gamma 90.00
_space_group_name_H-M_alt 'P m -3 m'
_space_group_IT_number 221
_space_group_name_Hall '-P 4 2 3'
loop_
_atom_site_label
_atom_site_fract_x
_atom_site_fract_y
_atom_site_fract_z
La1 0.000 0.000 0.000
Ge1 0.000 0.000 0.500
Pd1 0.500 0.500 0.500
```

Computed properties:
total energy = -18.0 eV per formula unit


Copy entry 2 word for word.
DFT (PBE-GGA) results for a relaxed LaGe3Pd crystal.

CIF file:
```
data_LaGe3Pd
_chemical_formula_sum 'La1 Ge3 Pd1'
_cell_length_a 5.558
_cell_length_b 5.558
_cell_length_c 5.558
_cell_angle_alpha 90.00
_cell_angle_beta 90.00
_cell_angle_gamma 90.00
_space_group_name_H-M_alt 'P m -3 m'
_space_group_IT_number 221
_space_group_name_Hall '-P 4 2 3'
loop_
_atom_site_label
_atom_site_fract_x
_atom_site_fract_y
_atom_site_fract_z
La1 0.000 0.000 0.000
Ge1 0.000 0.000 0.500
Pd1 0.500 0.500 0.500
```

Computed properties:
total energy = -18.0 eV per formula unit


Repeat the second record exactly.
DFT (PBE-GGA) results for a relaxed LaGe3Pd crystal.

CIF file:
```
data_LaGe3Pd
_chemical_formula_sum 'La1 Ge3 Pd1'
_cell_length_a 5.558
_cell_length_b 5.558
_cell_length_c 5.558
_cell_angle_alpha 90.00
_cell_angle_beta 90.00
_cell_angle_gamma 90.00
_space_group_name_H-M_alt 'P m -3 m'
_space_group_IT_number 221
_space_group_name_Hall '-P 4 2 3'
loop_
_atom_site_label
_atom_site_fract_x
_atom_site_fract_y
_atom_site_fract_z
La1 0.000 0.000 0.000
Ge1 0.000 0.000 0.500
Pd1 0.500 0.500 0.500
```

Computed properties:
total energy = -18.0 eV per formula unit


- Among the records above, which one has the lowest total energy?
  GdTmMg